Entry from the Open Quantum Materials Database: crystalline TlAgPbS3 at its relaxed geometry (PBE).

Calculated values
Raw total energy   -43.54 eV for the cell shown
SG   Cmcm (63)

Structure (POSCAR):
```
TlAgPbS3
1.0
-3.5211 -0.1268 1.6962
-2.0749 -6.5413 -0.2887
4.8857 -1.9908 9.9933
Ag Pb S Tl
2 2 6 2
Direct
0.4813 0.0374 0.2500
0.5187 0.9626 0.7500
0.0000 0.0000 0.0000
0.0000 0.0000 0.5000
0.3540 0.2921 0.0792
0.1082 0.7835 0.2500
0.3540 0.2921 0.4208
0.6461 0.7079 0.5792
0.8918 0.2165 0.7500
0.6461 0.7079 0.9208
0.7652 0.4696 0.2500
0.2348 0.5304 0.7500
```


Entry from the Open Quantum Materials Database: crystalline SiGeMo at its relaxed geometry (PBE).

Calculated values
SG   F-43m (216)
Offset from the most stable computed form   782.6 meV/atom

Structure (POSCAR):
```
SiGeMo
1.0
1.5064 -1.3523 3.6214
2.0179 2.6128 2.5128
-1.7476 1.2206 3.5593
Ge Mo Si
1 1 1
Direct
0.2500 0.2500 0.2500
0.7500 0.7500 0.7500
0.0000 0.0000 0.0000
```


Entry from the Open Quantum Materials Database: crystalline CsPrHo at its relaxed geometry (PBE).

Calculated values
SG   F-43m (216)
Offset from the most stable computed form   8.7 meV/atom

Structure (POSCAR):
```
CsPrHo
1.0
0.0000 4.2937 4.2937
4.2937 0.0000 4.2937
4.2937 4.2937 0.0000
Cs Ho Pr
1 1 1
Direct
0.2500 0.2500 0.2500
0.7500 0.7500 0.7500
0.0000 0.0000 0.0000
```


Entry from the Open Quantum Materials Database: crystalline SmGdAlCo2 at its relaxed geometry (PBE).

Calculated values
Raw total energy   -28.61 eV for the cell shown
SG   Amm2 (38)

Structure (POSCAR):
```
SmGdAlCo2
1.0
3.9863 0.0000 0.0000
0.0000 1.8991 6.6563
0.0000 -1.8991 6.6563
Al Co Gd Sm
1 2 1 1
Direct
0.0000 0.9983 0.9983
0.0000 0.2034 0.2034
0.0000 0.7991 0.7991
0.5000 0.3672 0.3672
0.5000 0.6320 0.6320
```